Entry 1:
A plane-wave DFT calculation with PBE was carried out for a geometry-optimized LiBiF6 structure.

Cell: 5.199 5.199 9.788 Å, 90.00 90.00 120.00°
Sites, in units of the cell vectors:
1 Li 0.333 0.667 0.250
2 Li 0.667 0.333 0.750
3 Bi 0.000 0.000 0.000
4 Bi 0.000 0.000 0.500
5 F 0.028 0.333 0.122
6 F 0.028 0.695 0.378
7 F 0.305 0.333 0.378
8 F 0.305 0.972 0.122
9 F 0.333 0.028 0.622
10 F 0.333 0.305 0.878
11 F 0.667 0.695 0.122
12 F 0.667 0.972 0.378
13 F 0.695 0.028 0.878
14 F 0.695 0.667 0.622
15 F 0.972 0.305 0.622
16 F 0.972 0.667 0.878

Properties
Excess energy over the best structure of this formula in the dataset ... 9.9 meV/atom

Entry 2:
A plane-wave DFT calculation with PBE was carried out for a geometry-optimized Li4Bi2F structure.

Cell: 7.310 7.310 7.310 Å, 142.28 142.28 54.41°
Sites, in units of the cell vectors:
1 Li 0.000 0.500 0.500
2 Li 0.142 0.142 0.000
3 Li 0.500 0.000 0.500
4 Li 0.858 0.858 0.000
5 Bi 0.377 0.377 0.000
6 Bi 0.623 0.623 0.000
7 F 0.000 0.000 0.000

Properties
Uncorrected energy ... -3.4269 eV/atom

Entry 3:
A plane-wave DFT calculation with PBE was carried out for a geometry-optimized Li4BiF8 structure.

Cell: 5.442 5.442 5.442 Å, 76.09 76.09 76.09°
Sites, in units of the cell vectors:
1 Li 0.000 0.000 0.000
2 Li 0.000 0.000 0.500
3 Li 0.000 0.500 0.000
4 Li 0.500 0.000 0.000
5 Bi 0.500 0.500 0.500
6 F 0.174 0.752 0.752
7 F 0.248 0.248 0.826
8 F 0.248 0.826 0.248
9 F 0.309 0.309 0.309
10 F 0.691 0.691 0.691
11 F 0.752 0.174 0.752
12 F 0.752 0.752 0.174
13 F 0.826 0.248 0.248

Properties
Uncorrected energy ... -4.6028 eV/atom

Entry 4:
A plane-wave DFT calculation with PBE was carried out for a geometry-optimized Li3BiF structure.

Cell: 4.277 4.277 4.277 Å, 90.00 90.00 90.00°
Sites, in units of the cell vectors:
1 Li 0.000 0.000 0.500
2 Li 0.000 0.500 0.000
3 Li 0.500 0.000 0.000
4 Bi 0.500 0.500 0.500
5 F 0.000 0.000 0.000

Properties
Excess energy over the best structure of this formula in the dataset ... 5.1 meV/atom

Spin magnetization values (in μB/atom) by entry order: 0.00, 0.00, 0.05, 0.00.
DOS(E_F) values (in states/eV/f.u.) by entry order: 0.000, 2.791, 3.623, 2.043.